[1]
Here is a relaxed structure of Li4LaIn8 from Alexandria via LeMat-Bulk. Energies are from PBE.

Geometry as extended XYZ:
```
13
Lattice="5.495 0.000 2.209 2.748 7.029 1.104 0.126 0.000 7.626" Properties=species:S:1:pos:R:3 pbc="T T T"
In 2.176 1.534 2.528
In 3.771 4.623 6.499
Li 4.122 3.514 1.657
La 0.000 0.000 0.000
Li 0.063 0.000 3.813
In 3.446 1.534 7.307
In 4.923 5.495 3.632
Li 1.374 3.514 0.552
In 6.194 5.495 8.412
Li 2.811 0.000 4.917
In 4.598 2.406 4.441
In 1.851 4.623 3.336
In 1.023 2.406 5.394
```

Space group: I4/mmm
Energy of formation from the pure elements (eV/atom): -0.30

***

[2]
Here is a relaxed structure of LiLaIn3 from Alexandria via LeMat-Bulk. Energies are from PBE.

Geometry as extended XYZ:
```
10
Lattice="5.293 0.000 -2.926 -2.618 7.935 -4.736 0.524 -1.343 7.199" Properties=species:S:1:pos:R:3 pbc="T T T"
Li 2.646 0.000 -1.463
La 0.870 1.498 1.573
In 2.465 4.515 1.333
In 3.966 0.135 0.923
In 3.381 2.076 -3.260
In 0.734 2.076 -1.797
In -0.182 4.515 2.796
La 2.329 5.094 -2.037
In -0.767 6.457 -1.387
Li -1.309 3.967 -2.368
```

ΔE to the lowest computed polymorph (meV per atom): 117.4
Space group: Imma
Energy of formation from the pure elements (eV/atom): -0.28

***

[3]
Here is a relaxed structure of LiLaIn6 from Alexandria via LeMat-Bulk. Energies are from PBE.

Geometry as extended XYZ:
```
8
Lattice="4.697 0.000 0.000 0.000 6.651 -0.052 0.000 0.032 6.651" Properties=species:S:1:pos:R:3 pbc="T T T"
In 2.349 3.326 -0.026
In 0.000 1.607 1.587
La 2.349 3.342 3.300
In 2.349 0.016 3.326
In 0.000 1.629 5.034
Li 2.349 0.000 0.000
In 0.000 5.076 5.012
In 0.000 5.055 1.565
```

Space group: Cmmm
Energy of formation from the pure elements (eV/atom): -0.26

***

[4]
Here is a relaxed structure of LiLa6In5 from Alexandria via LeMat-Bulk. Energies are from PBE.

Geometry as extended XYZ:
```
12
Lattice="-3.386 2.515 3.687 -1.297 -6.900 3.515 4.864 2.619 6.937" Properties=species:S:1:pos:R:3 pbc="T T T"
In 0.338 -0.027 8.842
La -2.157 -2.218 8.044
Li 0.000 0.000 0.000
La -1.503 1.264 6.271
In -0.649 -3.450 1.757
In 1.089 3.445 7.164
In 0.389 1.690 3.461
La -2.661 -3.891 4.466
La 2.338 0.452 6.095
La 1.684 -3.029 7.868
In -0.157 -1.739 5.298
La -2.022 -0.494 2.736
```

Space group: Cmmm
Energy of formation from the pure elements (eV/atom): -0.44